A.
LiLaMoOs after structural relaxation. Source: the Open Quantum Materials Database, functional GGA-PBE.

Properties
Magnetic moment ... 0.5 μB per formula unit
Crystal system ... cubic
Symmetry ... F-43m, No. 216

Cell: 4.5992 4.5992 4.5992 Å, 60.00 60.00 60.00°
Closest atoms and distances in Å follow each position.
Element x y z (fractional)
1 Li 0.0000 0.0000 0.0000  4 Os 2.82, 4 Mo 2.82
2 La 0.5000 0.5000 0.5000  4 Mo 2.82, 4 Os 2.82
3 Mo 0.7500 0.7500 0.7500  4 La 2.82, 4 Li 2.82
4 Os 0.2500 0.2500 0.2500  4 La 2.82, 4 Li 2.82


B.
LiLaMoOs after structural relaxation. Source: the Open Quantum Materials Database, functional GGA-PBE.

Properties
Magnetic moment ... 0.0 μB per formula unit
Crystal system ... cubic
Symmetry ... F-43m, No. 216

Cell: 4.6317 4.6317 4.6317 Å, 60.00 60.00 60.00°
Closest atoms and distances in Å follow each position.
Element x y z (fractional)
1 Li 0.0000 0.0000 0.0000  4 Os 2.84, 4 La 2.84
2 La 0.7500 0.7500 0.7500  4 Mo 2.84, 4 Li 2.84
3 Mo 0.5000 0.5000 0.5000  4 La 2.84, 4 Os 2.84
4 Os 0.2500 0.2500 0.2500  4 Mo 2.84, 4 Li 2.84


C.
LiLaMoOs after structural relaxation. Source: the Open Quantum Materials Database, functional GGA-PBE.

Properties
Magnetic moment ... 0.5 μB per formula unit
Crystal system ... cubic
Symmetry ... F-43m, No. 216

Cell: 4.7142 4.7142 4.7142 Å, 60.00 60.00 60.00°
Closest atoms and distances in Å follow each position.
Element x y z (fractional)
1 Li 0.0000 0.0000 0.0000  4 La 2.89, 4 Mo 2.89
2 La 0.2500 0.2500 0.2500  4 Os 2.89, 4 Li 2.89
3 Mo 0.7500 0.7500 0.7500  4 Os 2.89, 4 Li 2.89
4 Os 0.5000 0.5000 0.5000  4 La 2.89, 4 Mo 2.89


Which one sits at the bottom of the stability order? A does.


A.
LiLaSiNi after structural relaxation. Source: the Open Quantum Materials Database, functional GGA-PBE.

Properties
Magnetic moment ... 0.0 μB per formula unit
Crystal system ... cubic
Symmetry ... F-43m, No. 216

Cell: 4.7893 4.7893 4.7893 Å, 60.00 60.00 60.00°
Closest atoms and distances in Å follow each position.
Element x y z (fractional)
1 Li 0.0000 0.0000 0.0000  4 Si 2.93, 4 Ni 2.93
2 La 0.5000 0.5000 0.5000  4 Si 2.93, 4 Ni 2.93
3 Si 0.7500 0.7500 0.7500  4 La 2.93, 4 Li 2.93
4 Ni 0.2500 0.2500 0.2500  4 La 2.93, 4 Li 2.93


B.
LiLaSiNi after structural relaxation. Source: the Open Quantum Materials Database, functional GGA-PBE.

Properties
Magnetic moment ... 0.0 μB per formula unit
Crystal system ... cubic
Symmetry ... F-43m, No. 216

Cell: 4.6797 4.6797 4.6797 Å, 60.00 60.00 60.00°
Closest atoms and distances in Å follow each position.
Element x y z (fractional)
1 Li 0.0000 0.0000 0.0000  4 La 2.87, 4 Ni 2.87
2 La 0.7500 0.7500 0.7500  4 Li 2.87, 4 Si 2.87
3 Si 0.5000 0.5000 0.5000  4 La 2.87, 4 Ni 2.87
4 Ni 0.2500 0.2500 0.2500  4 Si 2.87, 4 Li 2.87


Which one sits at the bottom of the stability order? A does.


A.
LiLaZrNi after structural relaxation. Source: the Open Quantum Materials Database, functional GGA-PBE.

Properties
Magnetic moment ... 0.0 μB per formula unit
Crystal system ... cubic
Symmetry ... F-43m, No. 216

Cell: 4.7234 4.7234 4.7234 Å, 60.00 60.00 60.00°
Closest atoms and distances in Å follow each position.
Element x y z (fractional)
1 Li 0.0000 0.0000 0.0000  4 La 2.89, 4 Ni 2.89
2 La 0.7500 0.7500 0.7500  4 Zr 2.89, 4 Li 2.89
3 Zr 0.5000 0.5000 0.5000  4 La 2.89, 4 Ni 2.89
4 Ni 0.2500 0.2500 0.2500  4 Zr 2.89, 4 Li 2.89


B.
LiLaZrNi after structural relaxation. Source: the Open Quantum Materials Database, functional GGA-PBE.

Properties
Magnetic moment ... 0.0 μB per formula unit
Crystal system ... cubic
Symmetry ... F-43m, No. 216

Cell: 4.7039 4.7039 4.7039 Å, 60.00 60.00 60.00°
Closest atoms and distances in Å follow each position.
Element x y z (fractional)
1 Li 0.0000 0.0000 0.0000  4 Zr 2.88, 4 Ni 2.88
2 La 0.5000 0.5000 0.5000  4 Zr 2.88, 4 Ni 2.88
3 Zr 0.7500 0.7500 0.7500  4 La 2.88, 4 Li 2.88
4 Ni 0.2500 0.2500 0.2500  4 La 2.88, 4 Li 2.88


Which one sits at the bottom of the stability order? B does.


A.
LiLa2Os after structural relaxation. Source: the Open Quantum Materials Database, functional GGA-PBE.

Properties
Magnetic moment ... 0.0 μB per formula unit
Crystal system ... orthorhombic
Symmetry ... Pnnm, No. 58

Cell: 5.1216 15.3600 7.2404 Å, 90.00 90.00 90.00°
Closest atoms and distances in Å follow each position.
Element x y z (fractional)
1 Li 0.0000 0.0000 0.0000  8 La 3.14
2 Li 0.9996 0.3333 0.0000  8 La 3.13-3.14
3 Li 0.0004 0.6667 0.0000  8 La 3.13-3.14
4 Li 0.4996 0.1667 0.5000  8 La 3.13-3.14
5 Li 0.5000 0.5000 0.5000  8 La 3.14
6 Li 0.5004 0.8333 0.5000  8 La 3.13-3.14
7 La 0.0000 0.5000 0.2500  4 Os 3.14, 4 Li 3.14
8 La 0.0000 0.5000 0.7500  4 Os 3.14, 4 Li 3.14
9 La 0.0005 0.1667 0.2503  4 Os 3.13-3.14, 4 Li 3.13-3.14
10 La 0.0005 0.1667 0.7497  4 Os 3.13-3.14, 4 Li 3.13-3.14
11 La 0.4995 0.6667 0.2497  4 Os 3.13-3.14, 4 Li 3.13-3.14
12 La 0.4995 0.6667 0.7503  4 Os 3.13-3.14, 4 Li 3.13-3.14
13 La 0.5000 0.0000 0.2500  4 Os 3.14, 4 Li 3.14
14 La 0.5000 0.0000 0.7500  4 Os 3.14, 4 Li 3.14
15 La 0.5005 0.3333 0.2497  4 Os 3.13-3.14, 4 Li 3.13-3.14
16 La 0.5005 0.3333 0.7503  4 Os 3.13-3.14, 4 Li 3.13-3.14
17 La 0.9995 0.8333 0.2503  4 Os 3.13-3.14, 4 Li 3.13-3.14
18 La 0.9995 0.8333 0.7497  4 Os 3.13-3.14, 4 Li 3.13-3.14
19 Os 0.0000 0.0000 0.5000  8 La 3.13-3.14
20 Os 0.0021 0.3333 0.5000  8 La 3.13-3.14
21 Os 0.4979 0.8333 0.0000  8 La 3.13-3.14
22 Os 0.5000 0.5000 0.0000  8 La 3.13-3.14
23 Os 0.5021 0.1667 0.0000  8 La 3.13-3.14
24 Os 0.9979 0.6667 0.5000  8 La 3.13-3.14


B.
LiLa2Os after structural relaxation. Source: the Open Quantum Materials Database, functional GGA-PBE.

Properties
Magnetic moment ... 0.0 μB per formula unit
Crystal system ... orthorhombic
Symmetry ... Pnma, No. 62

Cell: 7.3640 8.4312 6.7076 Å, 90.00 90.00 90.00°
Closest atoms and distances in Å follow each position.
Element x y z (fractional)
1 Li 0.0516 0.2500 0.1158  2 Os 2.75-2.86
2 Li 0.4484 0.7500 0.6158  2 Os 2.75-2.86
3 Li 0.5516 0.2500 0.3842  2 Os 2.75-2.86
4 Li 0.9484 0.7500 0.8842  2 Os 2.75-2.86
5 La 0.1721 0.0450 0.6858  3 Os 2.86-3.18
6 La 0.1721 0.4550 0.6858  3 Os 2.86-3.18
7 La 0.3279 0.5450 0.1858  3 Os 2.86-3.18
8 La 0.3279 0.9550 0.1858  3 Os 2.86-3.18
9 La 0.6721 0.0450 0.8142  3 Os 2.86-3.18
10 La 0.6721 0.4550 0.8142  3 Os 2.86-3.18
11 La 0.8279 0.5450 0.3142  3 Os 2.86-3.18
12 La 0.8279 0.9550 0.3142  3 Os 2.86-3.18
13 Os 0.0932 0.7500 0.4887  2 Li 2.75-2.86, 4 La 2.86-2.88
14 Os 0.4068 0.2500 0.9887  2 Li 2.75-2.86, 4 La 2.86-2.88
15 Os 0.5932 0.7500 0.0113  2 Li 2.75-2.86, 4 La 2.86-2.88
16 Os 0.9068 0.2500 0.5113  2 Li 2.75-2.86, 4 La 2.86-2.88


Which one sits at the bottom of the stability order? B does.


A.
LiLa2Os after structural relaxation. Source: the Open Quantum Materials Database, functional GGA-PBE.

Properties
Magnetic moment ... 0.0 μB per formula unit
Crystal system ... orthorhombic
Symmetry ... Immm, No. 71

Cell: 5.1200 5.1200 5.1200 Å, 120.19 119.80 90.01°
Closest atoms and distances in Å follow each position.
Element x y z (fractional)
1 Li 0.0000 0.0000 0.0000  8 La 3.13-3.14
2 La 0.2509 0.7509 0.5000  4 Os 3.13-3.15, 4 Li 3.13-3.14
3 La 0.7491 0.2491 0.5000  4 Os 3.13-3.15, 4 Li 3.13-3.14
4 Os 0.5000 0.5000 0.0000  8 La 3.13-3.15


B.
LiLa2Os after structural relaxation. Source: the Open Quantum Materials Database, functional GGA-PBE.

Properties
Magnetic moment ... 0.0 μB per formula unit
Crystal system ... hexagonal
Symmetry ... P6_3/mmc, No. 194

Cell: 5.4191 5.4191 8.2268 Å, 90.00 90.00 120.00°
Closest atoms and distances in Å follow each position.
Element x y z (fractional)
1 Li 0.0000 0.0000 0.0000  6 La 3.18
2 Li 0.0000 0.0000 0.5000  6 La 3.18
3 La 0.3333 0.6667 0.0699  1 Os 2.63
4 La 0.3333 0.6667 0.4301  1 Os 2.63
5 La 0.6667 0.3333 0.5699  1 Os 2.63
6 La 0.6667 0.3333 0.9301  1 Os 2.63
7 Os 0.3333 0.6667 0.7500  2 La 2.63
8 Os 0.6667 0.3333 0.2500  2 La 2.63


C.
LiLa2Os after structural relaxation. Source: the Open Quantum Materials Database, functional GGA-PBE.

Properties
Magnetic moment ... 0.2 μB per formula unit
Crystal system ... hexagonal
Symmetry ... P6_3/mmc, No. 194

Cell: 4.2825 4.2825 14.0789 Å, 90.00 90.00 120.00°
Closest atoms and distances in Å follow each position.
Element x y z (fractional)
1 Li 0.3333 0.6667 0.2500  3 Os 2.47
2 Li 0.6667 0.3333 0.7500  3 Os 2.47
3 La 0.3333 0.6667 0.6248  3 Os 3.04, 3 Li 3.04
4 La 0.3333 0.6667 0.8752  3 Os 3.04, 3 Li 3.04
5 La 0.6667 0.3333 0.1248  3 Os 3.04, 3 Li 3.04
6 La 0.6667 0.3333 0.3752  3 Os 3.04, 3 Li 3.04
7 Os 0.0000 0.0000 0.2500  3 Li 2.47
8 Os 0.0000 0.0000 0.7500  3 Li 2.47


D.
LiLa2Os after structural relaxation. Source: the Open Quantum Materials Database, functional GGA-PBE.

Properties
Magnetic moment ... 0.0 μB per formula unit
Crystal system ... hexagonal
Symmetry ... P6_3/mmc, No. 194

Cell: 4.1835 4.1835 17.2888 Å, 90.00 90.00 120.00°
Closest atoms and distances in Å follow each position.
Element x y z (fractional)
1 Li 0.3333 0.6667 0.2500  6 La 3.72
2 Li 0.6667 0.3333 0.7500  6 La 3.72
3 La 0.3333 0.6667 0.5864  3 Os 2.84
4 La 0.3333 0.6667 0.9136  3 Os 2.84
5 La 0.6667 0.3333 0.0864  3 Os 2.84
6 La 0.6667 0.3333 0.4136  3 Os 2.84
7 Os 0.0000 0.0000 0.0000  6 La 2.84
8 Os 0.0000 0.0000 0.5000  6 La 2.84


Which one sits at the bottom of the stability order? B does.


A.
LiLaTeOs after structural relaxation. Source: the Open Quantum Materials Database, functional GGA-PBE.

Properties
Magnetic moment ... 0.0 μB per formula unit
Crystal system ... cubic
Symmetry ... F-43m, No. 216

Cell: 4.8312 4.8312 4.8312 Å, 60.00 60.00 60.00°
Closest atoms and distances in Å follow each position.
Element x y z (fractional)
1 Li 0.0000 0.0000 0.0000  4 La 2.96, 4 Te 2.96
2 La 0.7500 0.7500 0.7500  4 Os 2.96, 4 Li 2.96
3 Te 0.2500 0.2500 0.2500  4 Li 2.96, 4 Os 2.96
4 Os 0.5000 0.5000 0.5000  4 La 2.96, 4 Te 2.96


B.
LiLaTeOs after structural relaxation. Source: the Open Quantum Materials Database, functional GGA-PBE.

Properties
Magnetic moment ... 0.0 μB per formula unit
Crystal system ... cubic
Symmetry ... F-43m, No. 216

Cell: 4.8850 4.8850 4.8850 Å, 60.00 60.00 60.00°
Closest atoms and distances in Å follow each position.
Element x y z (fractional)
1 Li 0.0000 0.0000 0.0000  4 La 2.99, 4 Os 2.99
2 La 0.2500 0.2500 0.2500  4 Te 2.99, 4 Li 2.99
3 Te 0.5000 0.5000 0.5000  4 La 2.99, 4 Os 2.99
4 Os 0.7500 0.7500 0.7500  4 Te 2.99, 4 Li 2.99


C.
LiLaTeOs after structural relaxation. Source: the Open Quantum Materials Database, functional GGA-PBE.

Properties
Magnetic moment ... 0.4 μB per formula unit
Crystal system ... cubic
Symmetry ... F-43m, No. 216

Cell: 5.0292 5.0292 5.0292 Å, 60.00 60.00 60.00°
Closest atoms and distances in Å follow each position.
Element x y z (fractional)
1 Li 0.0000 0.0000 0.0000  4 Os 3.08, 4 Te 3.08
2 La 0.5000 0.5000 0.5000  4 Os 3.08, 4 Te 3.08
3 Te 0.2500 0.2500 0.2500  4 La 3.08, 4 Li 3.08
4 Os 0.7500 0.7500 0.7500  4 La 3.08, 4 Li 3.08


Which one sits at the bottom of the stability order? C does.


A.
LiLaPdPb after structural relaxation. Source: the Open Quantum Materials Database, functional GGA-PBE.

Properties
Magnetic moment ... 0.0 μB per formula unit
Crystal system ... cubic
Symmetry ... F-43m, No. 216

Cell: 4.9869 4.9869 4.9869 Å, 60.00 60.00 60.00°
Closest atoms and distances in Å follow each position.
Element x y z (fractional)
1 Li 0.0000 0.0000 0.0000  4 La 3.05, 4 Pb 3.05
2 La 0.7500 0.7500 0.7500  4 Li 3.05, 4 Pd 3.05
3 Pd 0.5000 0.5000 0.5000  4 La 3.05, 4 Pb 3.05
4 Pb 0.2500 0.2500 0.2500  4 Li 3.05, 4 Pd 3.05


B.
LiLaPdPb after structural relaxation. Source: the Open Quantum Materials Database, functional GGA-PBE.

Properties
Magnetic moment ... 0.0 μB per formula unit
Crystal system ... cubic
Symmetry ... F-43m, No. 216

Cell: 5.0524 5.0524 5.0524 Å, 60.00 60.00 60.00°
Closest atoms and distances in Å follow each position.
Element x y z (fractional)
1 Li 0.0000 0.0000 0.0000  4 Pd 3.09, 4 La 3.09
2 La 0.2500 0.2500 0.2500  4 Pb 3.09, 4 Li 3.09
3 Pd 0.7500 0.7500 0.7500  4 Pb 3.09, 4 Li 3.09
4 Pb 0.5000 0.5000 0.5000  4 Pd 3.09, 4 La 3.09


Which one sits at the bottom of the stability order? B does.


A.
LiLaPd after structural relaxation. Source: the Open Quantum Materials Database, functional GGA-PBE.

Properties
Magnetic moment ... 0.0 μB per formula unit
Crystal system ... cubic
Symmetry ... F-43m, No. 216

Cell: 4.8286 4.8286 4.8286 Å, 60.00 60.00 60.00°
Closest atoms and distances in Å follow each position.
Element x y z (fractional)
1 Li 0.0000 0.0000 0.0000  4 La 2.96
2 La 0.2500 0.2500 0.2500  4 Li 2.96, 4 Pd 2.96
3 Pd 0.5000 0.5000 0.5000  4 La 2.96


B.
LiLaPd after structural relaxation. Source: the Open Quantum Materials Database, functional GGA-PBE.

Properties
Magnetic moment ... 0.0 μB per formula unit
Crystal system ... cubic
Symmetry ... F-43m, No. 216

Cell: 4.8138 4.8138 4.8138 Å, 60.00 60.00 60.00°
Closest atoms and distances in Å follow each position.
Element x y z (fractional)
1 Li 0.0000 0.0000 0.0000  4 Pd 2.95
2 La 0.5000 0.5000 0.5000  4 Pd 2.95
3 Pd 0.7500 0.7500 0.7500  4 La 2.95, 4 Li 2.95


Which one sits at the bottom of the stability order? A does.


A.
LiLaZnSe3 after structural relaxation. Source: the Open Quantum Materials Database, functional GGA-PBE.

Properties
Magnetic moment ... 0.0 μB per formula unit
Crystal system ... orthorhombic
Symmetry ... Pnma, No. 62

Cell: 11.5639 4.1306 12.7080 Å, 90.00 90.00 90.00°
Closest atoms and distances in Å follow each position.
Element x y z (fractional)
1 Li 0.2187 0.2500 0.0264  6 Se 2.86-3.17
2 Li 0.2813 0.7500 0.5264  6 Se 2.86-3.17
3 Li 0.7187 0.2500 0.4736  6 Se 2.86-3.17
4 Li 0.7813 0.7500 0.9736  6 Se 2.86-3.17
5 La 0.0113 0.2500 0.2767  6 Se 2.97-3.14
6 La 0.4887 0.7500 0.7767  6 Se 2.97-3.14
7 La 0.5113 0.2500 0.2233  6 Se 2.97-3.14
8 La 0.9887 0.7500 0.7233  6 Se 2.97-3.14
9 Zn 0.2443 0.2500 0.7226  4 Se 2.45-2.54
10 Zn 0.2557 0.7500 0.2226  4 Se 2.45-2.54
11 Zn 0.7443 0.2500 0.7774  4 Se 2.45-2.54
12 Zn 0.7557 0.7500 0.2774  4 Se 2.45-2.54
13 Se 0.0786 0.7500 0.1164  1 Zn 2.45
14 Se 0.0946 0.2500 0.5864  1 Zn 2.45
15 Se 0.2296 0.7500 0.8376  2 Zn 2.54
16 Se 0.2704 0.2500 0.3376  2 Zn 2.54
17 Se 0.4054 0.7500 0.0864  1 Zn 2.45
18 Se 0.4214 0.2500 0.6164  1 Zn 2.45
19 Se 0.5786 0.7500 0.3836  1 Zn 2.45
20 Se 0.5946 0.2500 0.9136  1 Zn 2.45
21 Se 0.7296 0.7500 0.6624  2 Zn 2.54
22 Se 0.7704 0.2500 0.1624  2 Zn 2.54
23 Se 0.9054 0.7500 0.4136  1 Zn 2.45
24 Se 0.9214 0.2500 0.8836  1 Zn 2.45


B.
LiLaZnSe3 after structural relaxation. Source: the Open Quantum Materials Database, functional GGA-PBE.

Properties
Magnetic moment ... 0.0 μB per formula unit
Crystal system ... monoclinic
Symmetry ... C2/m, No. 12

Cell: 10.4038 10.4038 7.6595 Å, 109.55 109.55 22.65°
Closest atoms and distances in Å follow each position.
Element x y z (fractional)
1 Li 0.0874 0.0874 0.0037  4 Se 2.71-2.74
2 Li 0.9126 0.9126 0.9963  4 Se 2.71-2.74
3 La 0.2124 0.2124 0.7268  6 Se 2.94-3.06
4 La 0.7876 0.7876 0.2732  6 Se 2.94-3.06
5 Zn 0.4597 0.4597 0.6552  4 Se 2.43-2.63
6 Zn 0.5403 0.5403 0.3448  4 Se 2.43-2.63
7 Se 0.0000 0.0000 0.5000  4 Zn 2.63
8 Se 0.3338 0.3338 0.5785  1 Zn 2.43
9 Se 0.3364 0.3364 0.0701  2 Li 2.74, 3 La 2.94-2.96
10 Se 0.5000 0.5000 0.0000  2 Zn 2.48, 4 Li 2.71
11 Se 0.6636 0.6636 0.9299  2 Li 2.74, 3 La 2.94-2.96
12 Se 0.6662 0.6662 0.4215  1 Zn 2.43


Which one sits at the bottom of the stability order? B does.